First-principles (PBE-GGA) data for an optimized crystal structure of FeReAu2, as listed in Alexandria via LeMat-Bulk.

Calculated values
Total magnetization = 3.9 μB/f.u.
Energy above the most stable polymorph in this dataset = 352.9 meV/atom
D(E_F) = 4.1 states/eV/cell
Electronic total energy = -25.2 eV/cell
DFT formation energy = 579 meV per atom

a b c (Å): 3.8879 3.8879 4.1992
angles (deg): 90.00 90.00 90.00
Last column: nearest neighbours and their distance in Å.
Space group P4/mmm (No. 123)
Asymmetric unit:
Fe  0.0000  0.0000  0.0000 [1 per cell]  4 Re 2.75, 8 Au 2.86
Re  0.5000  0.5000  0.0000 [1 per cell]  4 Fe 2.75, 8 Au 2.86
Au  0.0000  0.5000  0.5000 [2 per cell]  4 Au 2.75, 4 Fe 2.86, 4 Re 2.86

First-principles (PBE-GGA) data for an optimized crystal structure of Pm6Se8I, as listed in Alexandria via LeMat-Bulk.

Calculated values
Total magnetization = 0.0 μB/f.u.
ΔE_f (raw) = -1703.6 meV per atom
D(E_F) = 3.8 states/eV/cell
Electronic total energy = -83.5 eV/cell

a b c (Å): 11.6156 11.6156 4.2753
angles (deg): 90.00 90.00 120.00
Last column: nearest neighbours and their distance in Å.
Space group P-3 (No. 147)
Asymmetric unit:
Pm  0.1395  0.6717  0.2538 [6 per cell]  6 Se 2.89-3.13
Se  0.0491  0.3854  0.2457 [6 per cell]  4 Pm 2.89-2.94
Se  0.3333  0.6667  0.7521 [2 per cell]  6 Pm 3.12-3.13
I  0.0000  0.0000  0.5000 [1 per cell]  2 I 4.28, 6 Se 4.36

First-principles (PBE-GGA) data for an optimized crystal structure of Pu2AlTc, as listed in Alexandria via LeMat-Bulk.

Calculated values
Total magnetization = 10.0 μB/f.u.
D(E_F) = 36.4 states/eV/cell
Electronic total energy = -126.2 eV/cell
DFT formation energy = 178 meV per atom

a b c (Å): 3.1632 3.1632 29.1068
angles (deg): 90.00 90.00 120.00
Last column: nearest neighbours and their distance in Å.
Space group R-3m (No. 166, hexagonal axes)
Asymmetric unit:
Pu  0.0000  0.0000  0.2421 [6 per cell]  3 Tc 2.86, 6 Pu 3.16
Al  0.0000  0.0000  0.0000 [3 per cell]  6 Al 3.16, 6 Pu 3.22
Tc  0.0000  0.0000  0.5000 [3 per cell]  6 Pu 2.86, 6 Tc 3.16

First-principles (PBE-GGA) data for an optimized crystal structure of Er5Te4Ru, as listed in Alexandria via LeMat-Bulk.

Calculated values
Total magnetization = 0.0 μB/f.u.
ΔE_f (raw) = -1068.8 meV per atom
D(E_F) = 14.4 states/eV/cell
Electronic total energy = -110.7 eV/cell

a b c (Å): 9.6736 9.6736 6.0795
angles (deg): 90.00 90.00 90.00
Last column: nearest neighbours and their distance in Å.
Space group I4/m (No. 87)
Asymmetric unit:
Er  0.0000  0.0000  0.0000 [2 per cell]  2 Ru 3.04, 4 Te 3.13
Er  0.0905  0.7452  0.5000 [8 per cell]  1 Ru 2.62
Te  0.0918  0.6895  0.0000 [8 per cell]  6 Er 3.09-3.40
Ru  0.0000  0.0000  0.5000 [2 per cell]  4 Er 2.62